No. 1
VASP calculation (PBE) on a relaxed ZnBr2Cl crystal.

Cell lengths 7.161, 7.161, 7.161 Å; angles 154.37, 118.20, 68.03 degrees
Fractional positions:
1 Zn 0.000 0.000 0.000
2 Br 0.496 0.496 0.000
3 Br 0.839 0.339 0.500
4 Cl 0.138 0.638 0.500

SG: Imm2
Energy above the most stable polymorph in this dataset (eV per formula unit): 0.43
Total magnetization (Bohr magnetons per cell): 0.000

---

No. 2
VASP calculation (PBE) on a relaxed ZnBr2Cl crystal.

Cell lengths 7.042, 3.162, 7.102 Å; angles 90.00, 118.75, 90.00 degrees
Fractional positions:
1 Zn 0.000 0.000 0.000
2 Br 0.064 0.500 0.739
3 Br 0.362 0.000 0.322
4 Cl 0.783 0.500 0.038

SG: Pm
Energy above the most stable polymorph in this dataset (eV per formula unit): 0.00
Total magnetization (Bohr magnetons per cell): 0.086

---

No. 3
VASP calculation (PBE) on a relaxed ZnBr2Cl crystal.

Cell lengths 4.711, 4.711, 11.232 Å; angles 90.00, 90.00, 139.04 degrees
Fractional positions:
1 Zn 0.000 0.000 0.000
2 Br 0.000 0.000 0.511
3 Br 0.500 0.500 0.164
4 Cl 0.500 0.500 0.856

SG: Cmm2
Energy above the most stable polymorph in this dataset (eV per formula unit): 0.68
Total magnetization (Bohr magnetons per cell): 0.341

---

No. 4
VASP calculation (PBE) on a relaxed ZnBrCl2 crystal.

Cell lengths 3.202, 3.202, 9.704 Å; angles 90.00, 90.00, 90.00 degrees
Fractional positions:
1 Zn 0.000 0.000 0.000
2 Br 0.500 0.500 0.183
3 Cl 0.000 0.000 0.523
4 Cl 0.500 0.500 0.855

SG: P4mm
Energy above the most stable polymorph in this dataset (eV per formula unit): 2.12
Total magnetization (Bohr magnetons per cell): 0.494

---

No. 5
VASP calculation (PBE) on a relaxed ZnBr2Cl crystal.

Cell lengths 5.472, 5.472, 8.500 Å; angles 90.00, 90.00, 141.09 degrees
Fractional positions:
1 Zn 0.000 0.000 0.000
2 Br 0.500 0.500 0.201
3 Br 0.500 0.500 0.799
4 Cl 0.000 0.000 0.500

SG: Cmmm
Energy above the most stable polymorph in this dataset (eV per formula unit): 1.23
Total magnetization (Bohr magnetons per cell): 0.723

---

No. 6
VASP calculation (PBE) on a relaxed ZnBr2Cl2 crystal.

Cell lengths 6.470, 6.470, 8.209 Å; angles 90.00, 90.00, 90.00 degrees
Fractional positions:
1 Zn 0.000 0.000 0.000
2 Zn 0.500 0.500 0.000
3 Br 0.127 0.373 0.500
4 Br 0.373 0.873 0.500
5 Br 0.627 0.127 0.500
6 Br 0.873 0.627 0.500
7 Cl 0.185 0.685 0.000
8 Cl 0.315 0.185 0.000
9 Cl 0.685 0.815 0.000
10 Cl 0.815 0.315 0.000

SG: P4/mbm
Total magnetization (Bohr magnetons per cell): 0.000

---

No. 7
VASP calculation (PBE) on a relaxed ZrBrCl3 crystal.

Cell lengths 5.052, 5.052, 5.052 Å; angles 90.00, 90.00, 90.00 degrees
Fractional positions:
1 Zr 0.000 0.000 0.000
2 Br 0.500 0.500 0.500
3 Cl 0.000 0.000 0.500
4 Cl 0.000 0.500 0.000
5 Cl 0.500 0.000 0.000

SG: Pm-3m
Energy above the most stable polymorph in this dataset (eV per formula unit): 2.45
Total magnetization (Bohr magnetons per cell): 0.027

---

No. 8
VASP calculation (PBE) on a relaxed ZrBrCl3 crystal.

Cell lengths 5.302, 5.302, 5.302 Å; angles 90.00, 90.00, 90.00 degrees
Fractional positions:
1 Zr 0.000 0.000 0.000
2 Br 0.500 0.500 0.500
3 Cl 0.000 0.500 0.500
4 Cl 0.500 0.000 0.500
5 Cl 0.500 0.500 0.000

SG: Pm-3m
Energy above the most stable polymorph in this dataset (eV per formula unit): 11.44
Total magnetization (Bohr magnetons per cell): 0.221

---

No. 9
VASP calculation (PBE) on a relaxed ZrBrCl3 crystal.

Cell lengths 6.601, 7.747, 13.358 Å; angles 90.00, 90.00, 90.00 degrees
Fractional positions:
1 Zr 0.000 0.000 0.000
2 Zr 0.000 0.500 0.000
3 Zr 0.500 0.000 0.500
4 Zr 0.500 0.500 0.500
5 Br 0.219 0.250 0.095
6 Br 0.281 0.750 0.595
7 Br 0.719 0.250 0.405
8 Br 0.781 0.750 0.905
9 Cl 0.194 0.750 0.083
10 Cl 0.239 0.001 0.866
11 Cl 0.239 0.499 0.866
12 Cl 0.261 0.501 0.366
13 Cl 0.261 0.999 0.366
14 Cl 0.306 0.250 0.583
15 Cl 0.694 0.750 0.417
16 Cl 0.739 0.001 0.634
17 Cl 0.739 0.499 0.634
18 Cl 0.761 0.501 0.134
19 Cl 0.761 0.999 0.134
20 Cl 0.806 0.250 0.917

SG: Pnma
Energy above the most stable polymorph in this dataset (eV per formula unit): 0.00
Total magnetization (Bohr magnetons per cell): 0.000

---

No. 10
VASP calculation (PBE) on a relaxed Zr2BrCl3 crystal.

Cell lengths 3.458, 3.458, 29.596 Å; angles 90.00, 90.00, 120.00 degrees
Fractional positions:
1 Zr 0.000 0.000 0.000
2 Zr 0.000 0.000 0.484
3 Zr 0.667 0.333 0.243
4 Zr 0.667 0.333 0.737
5 Br 0.000 0.000 0.673
6 Br 0.000 0.000 0.801
7 Cl 0.000 0.000 0.186
8 Cl 0.000 0.000 0.301
9 Cl 0.667 0.333 0.058
10 Cl 0.667 0.333 0.426
11 Cl 0.667 0.333 0.542
12 Cl 0.667 0.333 0.942

SG: P3m1
Total magnetization (Bohr magnetons per cell): 0.000

---

No. 11
VASP calculation (PBE) on a relaxed ZrBr4Cl crystal.

Cell lengths 6.020, 6.020, 6.020 Å; angles 60.00, 60.00, 60.00 degrees
Fractional positions:
1 Zr 0.000 0.000 0.000
2 Br 0.125 0.625 0.625
3 Br 0.625 0.125 0.625
4 Br 0.625 0.625 0.125
5 Br 0.625 0.625 0.625
6 Cl 0.250 0.250 0.250

SG: F-43m
Total magnetization (Bohr magnetons per cell): 1.208

---

No. 12
VASP calculation (PBE) on a relaxed Zr2Br2Cl crystal.

Cell lengths 10.154, 10.154, 8.424 Å; angles 97.00, 97.00, 19.84 degrees
Fractional positions:
1 Zr 0.188 0.188 0.430
2 Zr 0.300 0.300 0.217
3 Zr 0.700 0.700 0.783
4 Zr 0.812 0.812 0.570
5 Br 0.099 0.099 0.667
6 Br 0.407 0.407 0.710
7 Br 0.593 0.593 0.290
8 Br 0.901 0.901 0.333
9 Cl 0.184 0.184 0.025
10 Cl 0.816 0.816 0.975

SG: C2/m
Energy above the most stable polymorph in this dataset (eV per formula unit): 0.00
Total magnetization (Bohr magnetons per cell): 1.993

---

No. 13
VASP calculation (PBE) on a relaxed Zr2Br2Cl crystal.

Cell lengths 5.513, 5.513, 5.513 Å; angles 119.21, 119.21, 91.37 degrees
Fractional positions:
1 Zr 0.159 0.159 0.000
2 Zr 0.841 0.841 0.000
3 Br 0.250 0.750 0.500
4 Br 0.750 0.250 0.500
5 Cl 0.500 0.500 0.000

SG: I4/mmm
Energy above the most stable polymorph in this dataset (eV per formula unit): 2.87
Total magnetization (Bohr magnetons per cell): 0.414

---

No. 14
VASP calculation (PBE) on a relaxed Zr3BrCl crystal.

Cell lengths 4.872, 4.872, 4.872 Å; angles 90.00, 90.00, 90.00 degrees
Fractional positions:
1 Zr 0.000 0.000 0.500
2 Zr 0.000 0.500 0.000
3 Zr 0.500 0.000 0.000
4 Br 0.500 0.500 0.500
5 Cl 0.000 0.000 0.000

SG: Pm-3m
Energy above the most stable polymorph in this dataset (eV per formula unit): 0.00
Total magnetization (Bohr magnetons per cell): 0.002

---

No. 15
VASP calculation (PBE) on a relaxed ZrBrCl3 crystal.

Cell lengths 7.289, 7.455, 6.166 Å; angles 90.00, 90.00, 90.00 degrees
Fractional positions:
1 Zr 0.000 0.006 0.000
2 Zr 0.500 0.994 0.500
3 Br 0.000 0.698 0.170
4 Br 0.500 0.302 0.670
5 Cl 0.000 0.260 0.768
6 Cl 0.248 0.137 0.232
7 Cl 0.252 0.863 0.732
8 Cl 0.500 0.740 0.268
9 Cl 0.748 0.863 0.732
10 Cl 0.752 0.137 0.232

SG: Pmn2_1
Energy above the most stable polymorph in this dataset (eV per formula unit): 0.07
Total magnetization (Bohr magnetons per cell): 0.000

---

No. 16
VASP calculation (PBE) on a relaxed Zr3Br2Cl4 crystal.

Cell lengths 3.470, 3.470, 22.643 Å; angles 90.00, 90.00, 120.00 degrees
Fractional positions:
1 Zr 0.000 0.000 0.000
2 Zr 0.000 0.000 0.342
3 Zr 0.667 0.333 0.669
4 Br 0.667 0.333 0.083
5 Br 0.667 0.333 0.917
6 Cl 0.000 0.000 0.594
7 Cl 0.000 0.000 0.744
8 Cl 0.667 0.333 0.267
9 Cl 0.667 0.333 0.417

SG: P3m1
Total magnetization (Bohr magnetons per cell): 0.000

---

No. 17
VASP calculation (PBE) on a relaxed Zr3Br7Cl crystal.

Cell lengths 7.460, 7.460, 7.263 Å; angles 90.00, 90.00, 120.00 degrees
Fractional positions:
1 Zr 0.048 0.524 0.000
2 Zr 0.476 0.524 0.000
3 Zr 0.476 0.952 0.000
4 Br 0.165 0.331 0.240
5 Br 0.165 0.835 0.240
6 Br 0.331 0.165 0.795
7 Br 0.667 0.333 0.206
8 Br 0.669 0.835 0.240
9 Br 0.835 0.165 0.795
10 Br 0.835 0.669 0.795
11 Cl 0.333 0.667 0.743

SG: P3m1
Total magnetization (Bohr magnetons per cell): 2.120

---

No. 18
VASP calculation (PBE) on a relaxed Zr3BrCl7 crystal.

Cell lengths 7.196, 7.196, 7.203 Å; angles 90.00, 90.00, 120.00 degrees
Fractional positions:
1 Zr 0.041 0.521 0.000
2 Zr 0.479 0.521 0.000
3 Zr 0.479 0.959 0.000
4 Br 0.333 0.667 0.286
5 Cl 0.167 0.335 0.777
6 Cl 0.167 0.833 0.777
7 Cl 0.334 0.167 0.189
8 Cl 0.665 0.833 0.777
9 Cl 0.667 0.333 0.800
10 Cl 0.833 0.167 0.189
11 Cl 0.833 0.666 0.189

SG: P3m1
Total magnetization (Bohr magnetons per cell): 1.962

---

No. 19
VASP calculation (PBE) on a relaxed CoBr4 crystal.

Cell lengths 4.983, 4.983, 4.983 Å; angles 90.00, 90.00, 90.00 degrees
Fractional positions:
1 Co 0.000 0.000 0.000
2 Br 0.000 0.000 0.500
3 Br 0.000 0.500 0.000
4 Br 0.500 0.000 0.000
5 Br 0.500 0.500 0.500

SG: Pm-3m
Total magnetization (Bohr magnetons per cell): 3.188

---

No. 20
VASP calculation (PBE) on a relaxed Co2Br crystal.

Cell lengths 9.069, 9.069, 3.614 Å; angles 90.51, 90.51, 23.18 degrees
Fractional positions:
1 Co 0.044 0.044 0.252
2 Co 0.454 0.454 0.248
3 Co 0.546 0.546 0.752
4 Co 0.956 0.956 0.748
5 Br 0.354 0.354 0.744
6 Br 0.646 0.646 0.256

SG: C2/m
Energy above the most stable polymorph in this dataset (eV per formula unit): 0.00
Total magnetization (Bohr magnetons per cell): 7.469

---

Formation energy from raw total energies readings, ordered: -450, -559, -389, -85, -252, -431, -1114, 684, -1604, -1548, 367, -1093, -518, 252, -1591, -1516, -1369, -1663, 187, -5 meV per atom